No. 1
Compound: Pu5ZrAs6
Source: Alexandria via LeMat-Bulk
Functional: PBE
Structure: optimized geometry

Properties
Calculated volume   289 Å³ per cell
VASP energy   -120.54 eV for the cell shown
Crystal system   monoclinic

Lattice parameters (Å, degrees): 7.0473 7.0928 7.0912 59.99 80.34 70.40
Closest atoms and distances in Å follow each position.
Atoms (fractional coordinates):
1 As 0.2438 0.9190 0.6755  1 Zr 2.81, 5 Pu 2.89-2.94
2 As 0.7533 0.7582 0.0000  1 Zr 2.82, 5 Pu 2.90-2.96
3 As 0.7562 0.4055 0.6755  1 Zr 2.81, 5 Pu 2.89-2.94
4 As 0.2438 0.5945 0.3245  1 Zr 2.81, 5 Pu 2.89-2.94
5 As 0.2467 0.2418 0.0000  1 Zr 2.82, 5 Pu 2.90-2.96
6 As 0.7562 0.0810 0.3245  1 Zr 2.81, 5 Pu 2.89-2.94
7 Zr 0.0000 0.0000 0.0000  6 As 2.81-2.82
8 Pu 0.0000 0.3341 0.3318  6 As 2.89-2.90
9 Pu 0.5000 0.5000 0.0000  6 As 2.89-2.96
10 Pu 0.5000 0.1692 0.6616  6 As 2.89-2.94
11 Pu 0.5000 0.8308 0.3384  6 As 2.89-2.94
12 Pu 0.0000 0.6659 0.6682  6 As 2.89-2.90



No. 2
Compound: InOs2Se
Source: Alexandria via LeMat-Bulk
Functional: PBE
Structure: optimized geometry

Properties
Energy above the lowest structure with this stoichiometry   6.62 kcal/mol of atoms
Calculated volume   68 Å³ per cell
E_form (uncorrected)   0.61 eV per atom
Crystal system   monoclinic

Lattice parameters (Å, degrees): 4.5162 4.5162 5.4541 78.37 78.37 38.54
Closest atoms and distances in Å follow each position.
Atoms (fractional coordinates):
1 Os 0.0005 0.0005 0.9583  3 Se 2.62-2.65, 2 Os 2.72, 3 In 2.80-2.92
2 Os 0.4995 0.4995 0.5417  3 Se 2.62-2.65, 2 Os 2.72, 3 In 2.80-2.92
3 Se 0.7500 0.7500 0.7500  6 Os 2.62-2.65
4 In 0.2500 0.2500 0.2500  6 Os 2.80-2.92, 2 In 2.98, 4 Se 3.11



No. 3
Compound: NbCr2B
Source: Alexandria via LeMat-Bulk
Functional: PBE
Structure: optimized geometry

Properties
Calculated volume   101 Å³ per cell
VASP energy   -70.04 eV for the cell shown
Crystal system   tetragonal

Lattice parameters (Å, degrees): 6.7088 6.7088 5.2510 50.30 50.30 90.00
Closest atoms and distances in Å follow each position.
Atoms (fractional coordinates):
1 Cr 0.2153 0.6250 0.2500  2 B 2.07
2 Cr 0.8750 0.7847 0.7500  2 B 2.07
3 Cr 0.5347 0.1250 0.2500  2 B 2.07
4 Cr 0.3750 0.4653 0.7500  2 B 2.07
5 Nb 0.0000 0.0000 0.0000  2 B 2.25
6 Nb 0.7500 0.2500 0.5000  2 B 2.25
7 B 0.5000 0.5000 0.0000  4 Cr 2.07, 2 Nb 2.25
8 B 0.2500 0.7500 0.5000  4 Cr 2.07, 2 Nb 2.25



No. 4
Compound: Ba3Cd3In8
Source: Alexandria via LeMat-Bulk
Functional: PBE
Structure: optimized geometry

Properties
Energy above the lowest structure with this stoichiometry   0.00 kcal/mol of atoms
Calculated volume   417 Å³ per cell
Crystal system   orthorhombic

Lattice parameters (Å, degrees): 5.1069 9.5877 9.5877 69.93 74.55 74.55
Closest atoms and distances in Å follow each position.
Atoms (fractional coordinates):
1 Cd 0.5000 0.0000 0.0000  4 In 3.20, 4 Cd 3.24
2 Cd 0.0000 0.1810 0.8190  6 In 3.06-3.35, 2 Cd 3.24
3 Cd 0.0000 0.8190 0.1810  6 In 3.06-3.35, 2 Cd 3.24
4 In 0.6440 0.6395 0.0725  3 In 3.03-3.11, 3 Cd 3.20-3.35
5 In 0.1555 0.4812 0.2079  4 In 3.00-3.11, 1 Cd 3.06
6 In 0.1555 0.2079 0.4812  4 In 3.00-3.11, 1 Cd 3.06
7 In 0.8445 0.7921 0.5188  4 In 3.00-3.11, 1 Cd 3.06
8 In 0.8445 0.5188 0.7921  4 In 3.00-3.11, 1 Cd 3.06
9 In 0.3560 0.3605 0.9275  3 In 3.03-3.11, 3 Cd 3.20-3.35
10 In 0.3560 0.9275 0.3605  3 In 3.03-3.11, 3 Cd 3.20-3.35
11 In 0.6440 0.0725 0.6395  3 In 3.03-3.11, 3 Cd 3.20-3.35
12 Ba 0.2001 0.7999 0.7999  4 Cd 3.58-3.92, 10 In 3.59-3.88
13 Ba 0.5000 0.5000 0.5000  12 In 3.76-3.78
14 Ba 0.7999 0.2001 0.2001  4 Cd 3.58-3.92, 10 In 3.59-3.88



No. 5
Compound: Li3VH7
Source: Alexandria via LeMat-Bulk
Functional: PBE
Structure: optimized geometry

Properties
Calculated volume   85 Å³ per cell
VASP energy   -40.15 eV for the cell shown
Crystal system   monoclinic

Lattice parameters (Å, degrees): 4.5158 4.5158 5.0501 66.16 66.16 88.87
Closest atoms and distances in Å follow each position.
Atoms (fractional coordinates):
1 Li 0.5033 0.5033 0.9265  4 H 1.89-1.96
2 Li 0.7793 0.2312 0.4876  7 H 1.86-2.07
3 Li 0.2312 0.7793 0.4876  7 H 1.86-2.07
4 H 0.1498 0.1498 0.1380  1 V 1.71, 1 Li 1.89
5 H 0.8497 0.8497 0.7758  1 V 1.75, 3 Li 1.87-1.91
6 H 0.6276 0.6276 0.4303  1 V 1.76, 2 Li 1.86
7 H 0.3067 0.9817 0.7621  1 V 1.71
8 H 0.6341 0.1379 0.2100  1 V 1.72
9 H 0.9817 0.3067 0.7621  1 V 1.71
10 H 0.1379 0.6341 0.2100  1 V 1.72
11 V 0.9236 0.9236 0.0600  7 H 1.71-1.76



No. 6
Compound: Fe4PtRh7
Source: Alexandria via LeMat-Bulk
Functional: PBE
Structure: optimized geometry

Properties
Calculated volume   165 Å³ per cell
VASP energy   -91.70 eV for the cell shown
Crystal system   triclinic

Lattice parameters (Å, degrees): 5.3624 8.0071 4.6924 73.97 89.96 59.75
Closest atoms and distances in Å follow each position.
Atoms (fractional coordinates):
1 Rh 0.9990 0.3408 0.6699  6 Fe 2.58-2.70, 5 Rh 2.61-2.76, 1 Pt 2.74
2 Rh 0.2579 0.9938 0.5015  3 Fe 2.64-2.71, 7 Rh 2.65-2.77, 2 Pt 2.71-2.72
3 Rh 0.7431 0.3425 0.1706  6 Fe 2.57-2.71, 5 Rh 2.62-2.77, 1 Pt 2.73
4 Rh 0.0010 0.6592 0.3301  6 Fe 2.58-2.70, 5 Rh 2.61-2.76, 1 Pt 2.74
5 Rh 0.5000 0.0000 0.0000  2 Pt 2.68, 4 Fe 2.69, 6 Rh 2.69-2.71
6 Rh 0.2569 0.6575 0.8294  6 Fe 2.57-2.71, 5 Rh 2.62-2.77, 1 Pt 2.73
7 Rh 0.7421 0.0062 0.4985  3 Fe 2.64-2.71, 7 Rh 2.65-2.77, 2 Pt 2.71-2.72
8 Fe 0.4993 0.6662 0.3279  8 Rh 2.57-2.71, 1 Pt 2.68, 3 Fe 2.70-2.72
9 Fe 0.7509 0.6664 0.8246  9 Rh 2.58-2.71, 3 Fe 2.70-2.72
10 Fe 0.2491 0.3336 0.1754  9 Rh 2.58-2.71, 3 Fe 2.70-2.72
11 Fe 0.5007 0.3338 0.6721  8 Rh 2.57-2.71, 1 Pt 2.68, 3 Fe 2.70-2.72
12 Pt 0.0000 0.0000 0.0000  10 Rh 2.68-2.74, 2 Fe 2.68



No. 7
Compound: Ba2CrSi
Source: Alexandria via LeMat-Bulk
Functional: PBE
Structure: optimized geometry

Properties
Energy above the lowest structure with this stoichiometry   10.96 kcal/mol of atoms
Calculated volume   170 Å³ per cell
E_form (uncorrected)   0.57 eV per atom
Crystal system   trigonal

Lattice parameters (Å, degrees): 9.2341 9.2341 9.2341 29.63 29.63 29.63
Closest atoms and distances in Å follow each position.
Atoms (fractional coordinates):
1 Cr 0.7500 0.7500 0.7500  6 Ba 3.70
2 Ba 0.5111 0.5111 0.5111  3 Si 3.33, 3 Cr 3.70
3 Ba 0.9889 0.9889 0.9889  3 Si 3.33, 3 Cr 3.70
4 Si 0.2500 0.2500 0.2500  6 Ba 3.33



No. 8
Compound: HoTaAl2
Source: Alexandria via LeMat-Bulk
Functional: PBE
Structure: optimized geometry

Properties
Energy above the lowest structure with this stoichiometry   0.00 kcal/mol of atoms
Calculated volume   79 Å³ per cell
Crystal system   tetragonal

Lattice parameters (Å, degrees): 3.5090 3.5090 6.4084 90.00 90.00 90.00
Closest atoms and distances in Å follow each position.
Atoms (fractional coordinates):
1 Al 0.0000 0.0000 0.2034  1 Al 2.61, 4 Ta 2.80
2 Al 0.0000 0.0000 0.7966  1 Al 2.61, 4 Ta 2.80
3 Ho 0.5000 0.5000 0.5000  8 Al 3.13, 2 Ta 3.20
4 Ta 0.5000 0.5000 0.0000  8 Al 2.80



Repeat the first record exactly.
Compound: Pu5ZrAs6
Source: Alexandria via LeMat-Bulk
Functional: PBE
Structure: optimized geometry

Properties
Calculated volume   289 Å³ per cell
VASP energy   -120.54 eV for the cell shown
Crystal system   monoclinic

Lattice parameters (Å, degrees): 7.0473 7.0928 7.0912 59.99 80.34 70.40
Closest atoms and distances in Å follow each position.
Atoms (fractional coordinates):
1 As 0.2438 0.9190 0.6755  1 Zr 2.81, 5 Pu 2.89-2.94
2 As 0.7533 0.7582 0.0000  1 Zr 2.82, 5 Pu 2.90-2.96
3 As 0.7562 0.4055 0.6755  1 Zr 2.81, 5 Pu 2.89-2.94
4 As 0.2438 0.5945 0.3245  1 Zr 2.81, 5 Pu 2.89-2.94
5 As 0.2467 0.2418 0.0000  1 Zr 2.82, 5 Pu 2.90-2.96
6 As 0.7562 0.0810 0.3245  1 Zr 2.81, 5 Pu 2.89-2.94
7 Zr 0.0000 0.0000 0.0000  6 As 2.81-2.82
8 Pu 0.0000 0.3341 0.3318  6 As 2.89-2.90
9 Pu 0.5000 0.5000 0.0000  6 As 2.89-2.96
10 Pu 0.5000 0.1692 0.6616  6 As 2.89-2.94
11 Pu 0.5000 0.8308 0.3384  6 As 2.89-2.94
12 Pu 0.0000 0.6659 0.6682  6 As 2.89-2.90



- The highest calculated volume belongs to which entry?
  Ba3Cd3In8